Record 1
MgMo2Pt | the Alexandria database | meta-GGA SCAN | PBEsol geometry; ΔH_f (0 K) = -13.0 kJ/mol of atoms; space-group type = Cmm2
1.0
3.444 0.000 0.000
0.000 4.225 0.000
0.000 0.000 8.614
Mg Mo Pt
2 4 2
Direct
0.000 0.000 0.000
0.500 0.500 0.000
0.000 0.000 0.476
0.000 0.500 0.727
0.500 0.000 0.727
0.500 0.500 0.476
0.000 0.500 0.241
0.500 0.000 0.241

Record 2
Sc2SiSe | the Alexandria database | meta-GGA SCAN | PBEsol geometry; raw formation energy = -0.9098 eV per atom; excess energy over the best structure of this formula in the dataset = 1.52 eV/f.u.; space-group type = C2/m
1.0
6.683 0.000 0.000
0.000 7.109 0.000
-0.847 0.000 3.171
Sc Si Se
4 2 2
Direct
0.250 0.250 0.000
0.250 0.750 0.000
0.750 0.250 0.000
0.750 0.750 0.000
0.000 0.000 0.500
0.500 0.500 0.500
0.000 0.500 0.500
0.500 0.000 0.500

Record 3
YTaCo2 | the Alexandria database | meta-GGA SCAN | PBEsol geometry; ΔH_f (0 K) = -3.5 kJ/mol of atoms; space-group type = P4/mmm
1.0
4.557 0.000 0.000
0.000 4.557 0.000
0.000 0.000 2.947
Y Ta Co
1 1 2
Direct
0.000 0.000 0.000
0.500 0.500 0.000
0.000 0.500 0.500
0.500 0.000 0.500

Record 4
CaMg2Cu3 | the Alexandria database | meta-GGA SCAN | PBEsol geometry; ΔH_f (0 K) = -4.9 kJ/mol of atoms; space-group type = Cmcm
1.0
5.185 -3.771 0.000
5.185 3.771 0.000
0.000 0.000 5.666
Ca Mg Cu
2 4 6
Direct
0.171 0.829 0.750
0.829 0.171 0.250
0.286 0.286 0.000
0.286 0.286 0.500
0.714 0.714 0.000
0.714 0.714 0.500
0.070 0.683 0.250
0.317 0.930 0.250
0.453 0.547 0.250
0.547 0.453 0.750
0.683 0.070 0.750
0.930 0.317 0.750